# PBE Pr3SiAgSe7, optimized geometry
# * electronic total energy: -5.27 eV/atom
# * magnetization: 0.009 μB per cell
data_Pr3SiAgSe7
_symmetry_space_group_name_H-M 'P 63'
_symmetry_Int_Tables_number 173
_cell_length_a 10.7874
_cell_length_b 10.7874
_cell_length_c 6.1047
_cell_angle_alpha 90.00
_cell_angle_beta 90.00
_cell_angle_gamma 120.00
loop_
_symmetry_equiv_pos_as_xyz
'x,y,z'
'x-y,x,z+1/2'
'-y,x-y,z'
'-x,-y,z+1/2'
'-x+y,-x,z'
'y,-x+y,z+1/2'
loop_
_atom_site_label
_atom_site_fract_x
_atom_site_fract_y
_atom_site_fract_z
_atom_site_occupancy
Pr1 0.1269 0.3577 0.0000 1
Si1 0.3333 0.6667 0.4104 1
Ag1 0.0000 0.0000 0.0525 1
Se1 0.0960 0.2709 0.5175 1
Se2 0.1086 0.5863 0.2605 1
Se3 0.3333 0.6667 0.7832 1